1.
# TlHg3PbO4 PBE-GGA optimized geometry
data_TlHg3PbO4
_symmetry_space_group_name_H-M 'P -4 3 m'
_symmetry_Int_Tables_number 215
_symmetry_space_group_name_Hall 'P -4 2 3'
_cell_length_a 5.753
_cell_length_b 5.753
_cell_length_c 5.753
_cell_angle_alpha 90.00
_cell_angle_beta 90.00
_cell_angle_gamma 90.00
loop_
_atom_site_label
_atom_site_fract_x
_atom_site_fract_y
_atom_site_fract_z
Tl1 0.000 0.000 0.000
Hg1 0.000 0.500 0.500
Pb1 0.500 0.500 0.500
O1 0.257 0.257 0.257
# total DFT energy (no corrections)	-3.043	eV per atom
# crystal system	cubic

***

2.
# TmCd PBE-GGA optimized geometry
data_TmCd
_symmetry_space_group_name_H-M 'P -6 m 2'
_symmetry_Int_Tables_number 187
_symmetry_space_group_name_Hall 'P -6 2'
_cell_length_a 3.3940
_cell_length_b 3.3940
_cell_length_c 5.1650
_cell_angle_alpha 90.00
_cell_angle_beta 90.00
_cell_angle_gamma 120.00
loop_
_atom_site_label
_atom_site_fract_x
_atom_site_fract_y
_atom_site_fract_z
Tm1 0.0000 0.0000 0.0000
Cd1 0.3333 0.6667 0.5000
# total DFT energy (no corrections)	-2.767	eV per atom
# energy of formation from the pure elements	-0.08	eV/atom
# crystal system	hexagonal

***

3.
# MgTlGaPt PBE-GGA optimized geometry
data_MgTlGaPt
_symmetry_space_group_name_H-M 'F -4 3 m'
_symmetry_Int_Tables_number 216
_symmetry_space_group_name_Hall 'F -4 2 3'
_cell_length_a 6.764
_cell_length_b 6.764
_cell_length_c 6.764
_cell_angle_alpha 90.00
_cell_angle_beta 90.00
_cell_angle_gamma 90.00
loop_
_atom_site_label
_atom_site_fract_x
_atom_site_fract_y
_atom_site_fract_z
Mg1 0.000 0.000 0.000
Tl1 0.250 0.250 0.750
Ga1 0.000 0.000 0.500
Pt1 0.250 0.250 0.250
# total DFT energy (no corrections)	-3.420	eV per atom
# polymorph energy (0 for the lowest one)	0	meV/atom
# crystal system	cubic

***

4.
# ScAlCuOs PBE-GGA optimized geometry
data_ScAlCuOs
_symmetry_space_group_name_H-M 'F -4 3 m'
_symmetry_Int_Tables_number 216
_symmetry_space_group_name_Hall 'F -4 2 3'
_cell_length_a 6.285
_cell_length_b 6.285
_cell_length_c 6.285
_cell_angle_alpha 90.00
_cell_angle_beta 90.00
_cell_angle_gamma 90.00
loop_
_atom_site_label
_atom_site_fract_x
_atom_site_fract_y
_atom_site_fract_z
Sc1 0.000 0.000 0.000
Al1 0.250 0.250 0.250
Cu1 0.000 0.000 0.500
Os1 0.250 0.250 0.750
# total DFT energy (no corrections)	-6.246	eV per atom
# polymorph energy (0 for the lowest one)	365	meV/atom
# crystal system	cubic

***

5.
# Nb2CdSn PBE-GGA optimized geometry
data_Nb2CdSn
_symmetry_space_group_name_H-M 'F -4 3 m'
_symmetry_Int_Tables_number 216
_symmetry_space_group_name_Hall 'F -4 2 3'
_cell_length_a 6.814
_cell_length_b 6.814
_cell_length_c 6.814
_cell_angle_alpha 90.00
_cell_angle_beta 90.00
_cell_angle_gamma 90.00
loop_
_atom_site_label
_atom_site_fract_x
_atom_site_fract_y
_atom_site_fract_z
Nb1 0.000 0.000 0.000
Nb2 0.250 0.250 0.250
Cd1 0.250 0.250 0.750
Sn1 0.000 0.000 0.500
# total DFT energy (no corrections)	-5.928	eV per atom
# crystal system	cubic

***

6.
# Dy3Ge4Os2 PBE-GGA optimized geometry
data_Dy3Ge4Os2
_symmetry_space_group_name_H-M 'C 1 2/m 1'
_symmetry_Int_Tables_number 12
_symmetry_space_group_name_Hall '-C 2y'
_cell_length_a 10.722
_cell_length_b 4.363
_cell_length_c 8.152
_cell_angle_alpha 90.00
_cell_angle_beta 109.77
_cell_angle_gamma 90.00
loop_
_atom_site_label
_atom_site_fract_x
_atom_site_fract_y
_atom_site_fract_z
Dy1 0.000 0.000 0.000
Dy2 0.122 0.500 0.699
Ge1 0.092 0.000 0.404
Ge2 0.213 0.500 0.079
Os1 0.180 0.500 0.361
# total DFT energy (no corrections)	-6.711	eV per atom
# crystal system	monoclinic

***

7.
# KTmIr PBE-GGA optimized geometry
data_KTmIr
_symmetry_space_group_name_H-M 'F -4 3 m'
_symmetry_Int_Tables_number 216
_symmetry_space_group_name_Hall 'F -4 2 3'
_cell_length_a 6.896
_cell_length_b 6.896
_cell_length_c 6.896
_cell_angle_alpha 90.00
_cell_angle_beta 90.00
_cell_angle_gamma 90.00
loop_
_atom_site_label
_atom_site_fract_x
_atom_site_fract_y
_atom_site_fract_z
K1 0.000 0.000 0.000
Tm1 0.000 0.000 0.500
Ir1 0.250 0.250 0.250
# total DFT energy (no corrections)	-4.517	eV per atom
# polymorph energy (0 for the lowest one)	0	meV/atom
# crystal system	cubic

***

8.
# HfTaFeSb PBE-GGA optimized geometry
data_HfTaFeSb
_symmetry_space_group_name_H-M 'F -4 3 m'
_symmetry_Int_Tables_number 216
_symmetry_space_group_name_Hall 'F -4 2 3'
_cell_length_a 6.537
_cell_length_b 6.537
_cell_length_c 6.537
_cell_angle_alpha 90.00
_cell_angle_beta 90.00
_cell_angle_gamma 90.00
loop_
_atom_site_label
_atom_site_fract_x
_atom_site_fract_y
_atom_site_fract_z
Hf1 0.000 0.000 0.000
Ta1 0.250 0.250 0.250
Fe1 0.250 0.250 0.750
Sb1 0.000 0.000 0.500
# total DFT energy (no corrections)	-8.312	eV per atom
# polymorph energy (0 for the lowest one)	0	meV/atom
# crystal system	cubic

***

9.
# SmCo3 PBE-GGA optimized geometry
data_SmCo3
_symmetry_space_group_name_H-M 'P m -3 m'
_symmetry_Int_Tables_number 221
_symmetry_space_group_name_Hall '-P 4 2 3'
_cell_length_a 3.872
_cell_length_b 3.872
_cell_length_c 3.872
_cell_angle_alpha 90.00
_cell_angle_beta 90.00
_cell_angle_gamma 90.00
loop_
_atom_site_label
_atom_site_fract_x
_atom_site_fract_y
_atom_site_fract_z
Sm1 0.000 0.000 0.000
Co1 0.000 0.500 0.500
# total DFT energy (no corrections)	-6.223	eV per atom
# energy of formation from the pure elements	0.28	eV/atom
# crystal system	cubic

***

10.
# MgAgTeO PBE-GGA optimized geometry
data_MgAgTeO
_symmetry_space_group_name_H-M 'P 63 m c'
_symmetry_Int_Tables_number 186
_symmetry_space_group_name_Hall 'P 6c -2c'
_cell_length_a 3.3875
_cell_length_b 3.3875
_cell_length_c 14.7850
_cell_angle_alpha 90.00
_cell_angle_beta 90.00
_cell_angle_gamma 120.00
loop_
_atom_site_label
_atom_site_fract_x
_atom_site_fract_y
_atom_site_fract_z
Mg1 0.3333 0.6667 0.0000
Ag1 0.0000 0.0000 0.1765
Te1 0.3333 0.6667 0.3206
O1 0.0000 0.0000 0.0244
# total DFT energy (no corrections)	-4.150	eV per atom
# polymorph energy (0 for the lowest one)	87	meV/atom
# crystal system	hexagonal

***

11.
# Rb2ZnTeO6 PBE-GGA optimized geometry
data_Rb2ZnTeO6
_symmetry_space_group_name_H-M 'F m -3 m'
_symmetry_Int_Tables_number 225
_symmetry_space_group_name_Hall '-F 4 2 3'
_cell_length_a 8.169
_cell_length_b 8.169
_cell_length_c 8.169
_cell_angle_alpha 90.00
_cell_angle_beta 90.00
_cell_angle_gamma 90.00
loop_
_atom_site_label
_atom_site_fract_x
_atom_site_fract_y
_atom_site_fract_z
Rb1 0.250 0.250 0.250
Zn1 0.000 0.000 0.000
Te1 0.000 0.000 0.500
O1 0.000 0.000 0.262
# total DFT energy (no corrections)	-4.583	eV per atom
# crystal system	cubic

***

12.
# Zn2SnIr PBE-GGA optimized geometry
data_Zn2SnIr
_symmetry_space_group_name_H-M 'F -4 3 m'
_symmetry_Int_Tables_number 216
_symmetry_space_group_name_Hall 'F -4 2 3'
_cell_length_a 6.422
_cell_length_b 6.422
_cell_length_c 6.422
_cell_angle_alpha 90.00
_cell_angle_beta 90.00
_cell_angle_gamma 90.00
loop_
_atom_site_label
_atom_site_fract_x
_atom_site_fract_y
_atom_site_fract_z
Zn1 0.000 0.000 0.000
Zn2 0.250 0.250 0.250
Sn1 0.000 0.000 0.500
Ir1 0.250 0.250 0.750
# total DFT energy (no corrections)	-3.763	eV per atom
# crystal system	cubic

***

- Look up the total DFT energy (no corrections) of the sixth one.
  -6.711 eV per atom

***

- Among the records above, which one has the lowest total DFT energy (no corrections)?
  HfTaFeSb

***

- What is the formula in the twelfth record?
  Zn2SnIr